Record 1
Crystalline Hf4Mo2Ir at its relaxed geometry. Source: the Alexandria database, functional PBE.

Properties
E_form   0.67 eV/atom
Volume   163 Å³ per cell
Excess energy over the best structure of this formula in the dataset   861.2 meV/atom

Unit cell a=7.370 b=7.370 c=7.370 alpha=140.18 beta=140.18 gamma=57.58
Atoms (fractional coordinates):
Hf (0.000, 0.500, 0.500)
Hf (0.200, 0.200, 0.000)
Hf (0.500, 0.000, 0.500)
Hf (0.800, 0.800, 0.000)
Mo (0.395, 0.395, 0.000)
Mo (0.605, 0.605, 0.000)
Ir (0.000, 0.000, 0.000)

---

Record 2
Crystalline CaLa2Au at its relaxed geometry. Source: the Alexandria database, functional PBE.

Properties
E_form   -0.13 eV/atom
Volume   121 Å³ per cell
Excess energy over the best structure of this formula in the dataset   250.0 meV/atom

Unit cell a=6.559 b=6.559 c=3.640 alpha=102.30 beta=102.30 gamma=120.86
Atoms (fractional coordinates):
Ca (0.000, 0.000, 0.000)
La (0.000, 0.500, 0.500)
La (0.500, 0.000, 0.500)
Au (0.500, 0.500, 0.000)

---

Record 3
Crystalline SrAc2Nd3Te6 at its relaxed geometry. Source: the Alexandria database, functional PBE.

Properties
Formation energy (no corrections)   -1.49 eV/atom
Volume   416 Å³ per cell

Unit cell a=10.319 b=10.319 c=9.289 alpha=103.18 beta=103.18 gamma=25.65
Atoms (fractional coordinates):
Sr (0.000, 0.000, 0.000)
Ac (0.331, 0.331, 0.664)
Ac (0.669, 0.669, 0.336)
Nd (0.000, 0.000, 0.500)
Nd (0.332, 0.332, 0.171)
Nd (0.668, 0.668, 0.829)
Te (0.162, 0.162, 0.590)
Te (0.167, 0.167, 0.073)
Te (0.497, 0.497, 0.254)
Te (0.503, 0.503, 0.746)
Te (0.833, 0.833, 0.927)
Te (0.838, 0.838, 0.410)

---

Record 4
Crystalline Bi2SbPd at its relaxed geometry. Source: the Alexandria database, functional PBE.

Properties
Formation energy (no corrections)   -0.12 eV/atom
Volume   211 Å³ per cell

Unit cell a=3.943 b=8.733 c=6.422 alpha=90.00 beta=107.28 gamma=90.00
Atoms (fractional coordinates):
Bi (0.139, 0.050, 0.270)
Bi (0.139, 0.450, 0.270)
Bi (0.861, 0.550, 0.730)
Bi (0.861, 0.950, 0.730)
Sb (0.407, 0.250, 0.827)
Sb (0.593, 0.750, 0.173)
Pd (0.247, 0.750, 0.496)
Pd (0.753, 0.250, 0.504)

---

Record 5
Crystalline Cr2CoRe at its relaxed geometry. Source: the Alexandria database, functional PBE.

Properties
E_form   0.16 eV/atom
Volume   49 Å³ per cell

Unit cell a=4.469 b=4.469 c=4.515 alpha=99.04 beta=99.04 gamma=33.74
Atoms (fractional coordinates):
Cr (0.000, 0.000, 0.000)
Cr (0.244, 0.244, 0.757)
Co (0.738, 0.738, 0.239)
Re (0.484, 0.484, 0.487)

---

Record 6
Crystalline Na3In3MoS8 at its relaxed geometry. Source: the Alexandria database, functional PBE.

Properties
Formation energy (no corrections)   -0.74 eV/atom
Volume   338 Å³ per cell

Unit cell a=8.061 b=8.061 c=8.061 alpha=56.26 beta=56.26 gamma=56.26
Atoms (fractional coordinates):
Na (0.000, 0.500, 0.500)
Na (0.500, 0.000, 0.500)
Na (0.500, 0.500, 0.000)
In (0.000, 0.000, 0.500)
In (0.000, 0.500, 0.000)
In (0.500, 0.000, 0.000)
Mo (0.500, 0.500, 0.500)
S (0.240, 0.240, 0.240)
S (0.257, 0.725, 0.725)
S (0.275, 0.275, 0.743)
S (0.275, 0.743, 0.275)
S (0.725, 0.257, 0.725)
S (0.725, 0.725, 0.257)
S (0.743, 0.275, 0.275)
S (0.760, 0.760, 0.760)

---

no.,total energy (eV/atom)
1,-9.376
2,-3.912
3,-5.078
4,-4.385
5,-9.543
6,-4.478